! TeIrBr2 | Alexandria | PBEsol | relaxed; values from VASP
! formation energy without anion corrections: 1.098 eV per atom
&SYSTEM
  ibrav = 0, nat = 4, ntyp = 3
/
ATOMIC_SPECIES
Ir 192.22 Ir.upf
Br 79.90 Br.upf
Te 127.60 Te.upf
ATOMIC_POSITIONS angstrom
Ir 0.000 0.000 0.000
Br 2.442 1.410 0.997
Br 7.325 4.229 2.990
Te 4.883 2.819 1.994
CELL_PARAMETERS angstrom
4.883 0.000 0.000
2.442 4.229 0.000
2.442 1.410 3.987


! In2NiHg | Alexandria | PBEsol | relaxed; values from VASP
! energy relative to the elements: -0.75 kJ/mol of atoms
&SYSTEM
  ibrav = 0, nat = 4, ntyp = 3
/
ATOMIC_SPECIES
Ni 58.69 Ni.upf
Hg 200.59 Hg.upf
In 114.82 In.upf
ATOMIC_POSITIONS angstrom
Ni 1.445 0.000 0.000
Hg 0.000 2.230 0.000
In 1.445 2.230 4.080
In 0.000 0.000 2.263
CELL_PARAMETERS angstrom
2.891 0.000 0.000
0.000 4.460 0.000
-1.445 -2.230 6.343


! TbSi3Rh5 | Alexandria | PBEsol | relaxed; values from VASP
! formation energy without anion corrections: -1.019 eV per atom
&SYSTEM
  ibrav = 0, nat = 54, ntyp = 3
/
ATOMIC_SPECIES
Si 28.09 Si.upf
Tb 158.93 Tb.upf
Rh 102.91 Rh.upf
ATOMIC_POSITIONS angstrom
Si 5.977 -10.878 -2.460
Si -0.371 -9.435 -2.237
Si 9.248 -8.688 2.869
Si 3.187 -9.113 -0.321
Si -8.259 -6.658 -6.803
Si 3.747 -6.964 1.246
Si -1.337 -2.960 -1.221
Si -2.758 -8.382 -5.181
Si 5.587 -8.941 0.944
Si 0.947 -3.945 1.714
Si -4.598 -6.405 -4.878
Si 7.386 -5.484 1.477
Si -6.397 -9.862 -5.411
Si 0.042 -11.401 -5.648
Si 2.325 -12.386 -2.713
Si 1.359 -5.911 -1.697
Si -4.989 -4.468 -1.475
Si -2.199 -6.233 -3.613
Tb -2.824 -11.361 -4.587
Tb -7.461 -6.439 -3.861
Tb 3.813 -3.985 0.652
Tb -1.471 -5.965 -0.675
Tb 2.460 -9.381 -3.259
Tb 8.450 -8.907 -0.074
Rh -2.484 -8.544 -2.722
Rh 11.436 -8.316 1.728
Rh -4.271 -9.547 -6.616
Rh -1.127 -3.027 1.264
Rh 0.791 -3.826 -0.714
Rh -0.050 -7.163 -3.135
Rh -2.843 -4.122 -2.651
Rh -10.447 -7.029 -5.662
Rh 9.505 -6.463 1.912
Rh 1.171 -1.637 0.791
Rh -4.931 -8.699 -4.000
Rh -5.233 -4.310 -3.921
Rh -4.342 -6.522 -2.401
Rh 5.260 -5.799 2.682
Rh 5.331 -8.824 -1.533
Rh 0.198 -11.520 -3.220
Rh -6.120 -7.583 -6.326
Rh 3.832 -11.224 -1.283
Rh -0.592 -9.315 -4.696
Rh 7.108 -7.763 2.391
Rh 3.472 -6.802 -1.212
Rh -8.516 -8.883 -5.846
Rh 2.116 -12.319 -5.199
Rh 1.580 -6.031 0.761
Rh 5.919 -6.647 0.066
Rh -3.438 -3.362 -0.056
Rh 1.039 -8.183 -0.799
Rh 4.427 -11.984 -3.878
Rh -0.182 -13.709 -4.725
Rh 6.222 -11.036 -0.013
CELL_PARAMETERS angstrom
-1.468 -1.830 3.033
-10.910 -6.131 -8.980
13.367 -7.385 2.012


What did we get for E_tot? Answer: -3.17 -3.18 -8.01 eV per atom, in the order shown.
What did we get for N(E_F)? Answer: 2.9 1.9 22.7 states/eV per cell, in the order shown.
What did we get for size of the total moment? Answer: 0.0 0.0 0.0 μB/cell, in the order shown.